No. 1
A plane-wave DFT calculation with PBE was carried out for an optimized crystal structure of KRhSe2N.

Computed properties:
- symmetry = P4/mmm
- ΔE to the lowest computed polymorph (meV/atom) = 0
- energy (eV for the cell shown) = -23.44
- formation energy (no corrections) (kJ/mol of atoms) = 5.89

Cell: 5.453 5.453 3.648 Å, 90.00 90.00 90.00°
Positions (direct):
K  0.500  0.500  0.500
Rh  0.000  0.000  0.000
Se  0.000  0.500  0.000
Se  0.500  0.000  0.000
N  0.000  0.000  0.500

No. 2
A plane-wave DFT calculation with PBE was carried out for an optimized crystal structure of KRhSeN2.

Computed properties:
- symmetry = P4/mmm
- ΔE to the lowest computed polymorph (meV/atom) = 0
- energy (eV for the cell shown) = -24.34
- formation energy (no corrections) (kJ/mol of atoms) = 81.92

Cell: 3.999 3.999 5.393 Å, 90.00 90.00 90.00°
Last column: magnetic moment on the atom in μB.
Positions (direct):
K  0.500  0.500  0.500  0.00
Rh  0.000  0.000  0.000  -0.05
Se  0.000  0.000  0.500  0.02
N  0.000  0.500  0.000  0.18
N  0.500  0.000  0.000  0.18

No. 3
A plane-wave DFT calculation with PBE was carried out for an optimized crystal structure of KRhSeN2.

Computed properties:
- symmetry = P4/mmm
- ΔE to the lowest computed polymorph (meV/atom) = 1761
- energy (eV for the cell shown) = -15.53
- formation energy (no corrections) (kJ/mol of atoms) = 251.87

Cell: 4.656 4.656 6.289 Å, 90.00 90.00 90.00°
Last column: magnetic moment on the atom in μB.
Positions (direct):
K  0.000  0.000  0.000  0.14
Rh  0.500  0.500  0.500  1.61
Se  0.000  0.000  0.500  0.26
N  0.000  0.500  0.000  1.72
N  0.500  0.000  0.000  1.72

Q: The lowest formation energy (no corrections) belongs to which entry?
A: KRhSe2N